1.
## LiTbCd2 (GGA-PBE)

Data for an optimized crystal structure of LiTbCd2.

The density of states at the Fermi level comes out at 2.61 states/eV/f.u. The calculation puts the formation energy at -0.267 eV per atom. The calculation puts the mass density at 7.07 g/cm3. For the energy above the most stable polymorph in this dataset, the calculation gives 0.00 kJ/mol of atoms.

The space group is Fm-3m (No. 225) and the conventional cell measures 7.1600, 7.1600 and 7.1600 Å, with angles of 90.00, 90.00 and 90.00 degrees. The distinct sites, in fractional coordinates, are Li at (0.0000, 0.0000, 0.0000), Tb at (0.0000, 0.0000, 0.5000) and Cd at (0.2500, 0.2500, 0.2500).

***

2.
## LiTb3Cd12 (GGA-PBE)

Data for an optimized crystal structure of LiTb3Cd12.

The density of states at the Fermi level comes out at 7.81 states/eV/f.u. The calculation puts the formation energy at -0.236 eV per atom. The calculation puts the mass density at 8.12 g/cm3.

The space group is P4/mmm (No. 123) and the conventional cell measures 4.5637, 4.5637 and 17.9846 Å, with angles of 90.00, 90.00 and 90.00 degrees. The distinct sites, in fractional coordinates, are Li at (0.0000, 0.0000, 0.0000), Tb at (0.0000, 0.0000, 0.2382), Tb at (0.0000, 0.0000, 0.5000), Cd at (0.0000, 0.5000, 0.1124), Cd at (0.0000, 0.5000, 0.3699), Cd at (0.5000, 0.5000, 0.0000), Cd at (0.5000, 0.5000, 0.2369) and Cd at (0.5000, 0.5000, 0.5000).

***

3.
## Li3TbCd4 (GGA-PBE)

Data for an optimized crystal structure of Li3TbCd4.

The density of states at the Fermi level comes out at 4.71 states/eV/f.u. The calculation puts the formation energy at -0.233 eV per atom. The calculation puts the mass density at 6.21 g/cm3.

The space group is R-3m (No. 166, hexagonal axes) and the conventional cell measures 4.8643, 4.8643 and 24.6501 Å, with angles of 90.00, 90.00 and 120.00 degrees. The distinct sites, in fractional coordinates, are Li at (0.0000, 0.0000, 0.0000), Li at (0.0000, 0.0000, 0.2518), Tb at (0.0000, 0.0000, 0.5000), Cd at (0.0000, 0.0000, 0.1120) and Cd at (0.0000, 0.0000, 0.3713).

***

4.
## LiTbCd4 (GGA-PBE)

Data for an optimized crystal structure of LiTbCd4.

The density of states at the Fermi level comes out at 3.80 states/eV/f.u. The calculation puts the formation energy at -0.162 eV per atom. The calculation puts the mass density at 7.24 g/cm3. For the energy above the most stable polymorph in this dataset, the calculation gives 6.50 kJ/mol of atoms.

The space group is F-43m (No. 216) and the conventional cell measures 8.2647, 8.2647 and 8.2647 Å, with angles of 90.00, 90.00 and 90.00 degrees. The distinct sites, in fractional coordinates, are Li at (0.0000, 0.0000, 0.0000), Tb at (0.2500, 0.2500, 0.2500) and Cd at (0.1251, 0.1251, 0.6251).